This record from Alexandria via LeMat-Bulk describes crystalline DyBBr at its relaxed geometry. The functional is PBE.

Its energy relative to the lowest polymorph listed for this composition is 0 meV/atom. For the uncorrected formation energy, the calculation gives -1.059 eV/atom.

The structure belongs to space group C2/m (No. 12); the cell edges are 6.130, 3.539 and 11.788 Å and the angles 90.00°, 91.13° and 90.00°. The inequivalent atoms are Dy at (0.006, 0.000, 0.153), B at (0.166, 0.500, 0.994) and Br at (0.179, 0.500, 0.323).



This record from Alexandria via LeMat-Bulk describes crystalline Ag2I6Br at its relaxed geometry. The functional is PBE.

For the uncorrected formation energy, the calculation gives -0.073 eV/atom.

The structure belongs to space group C2/c (No. 15); the cell edges are 12.201, 8.163 and 17.538 Å and the angles 90.00°, 102.27° and 90.00°. The inequivalent atoms are Ag at (0.141, 0.017, 0.198), I at (0.034, 0.218, 0.892), I at (0.189, 0.180, 0.570), I at (0.242, 0.194, 0.832) and Br at (0.000, 0.211, 0.250).



This record from Alexandria via LeMat-Bulk describes crystalline AlZnRu2 at its relaxed geometry. The functional is PBE.

For the energy relative to the elements, the calculation gives -0.444 eV per formula unit.

The structure belongs to space group Cmmm (No. 65); the cell edges are 2.967, 4.629 and 8.269 Å and the angles 90.00°, 90.00° and 90.00°. The inequivalent atoms are Al at (0.000, 0.000, 0.000), Zn at (0.000, 0.000, 0.500) and Ru at (0.000, 0.500, 0.241).



This record from Alexandria via LeMat-Bulk describes crystalline NaAc2TeO6 at its relaxed geometry. The functional is PBE.

For the uncorrected formation energy, the calculation gives -2.302 eV/atom.

The structure belongs to space group R3 (No. 146, hexagonal axes); the cell edges are 6.0865, 6.0865 and 14.7126 Å and the angles 90.00°, 90.00° and 120.00°. The inequivalent atoms are Na at (0.0000, 0.0000, 0.0000), Ac at (0.0000, 0.0000, 0.2350), Ac at (0.0000, 0.0000, 0.7390), Te at (0.0000, 0.0000, 0.5084), O at (0.0461, 0.7612, 0.5950) and O at (0.0716, 0.3352, 0.1049).



This record from Alexandria via LeMat-Bulk describes crystalline Ce2ThSi6 at its relaxed geometry. The functional is PBE.

For the uncorrected formation energy, the calculation gives -0.651 eV/atom.

The structure belongs to space group P6/mmm (No. 191); the cell edges are 7.0753, 7.0753 and 4.1446 Å and the angles 90.00°, 90.00° and 120.00°. The inequivalent atoms are Ce at (0.3333, 0.6667, 0.0000), Th at (0.0000, 0.0000, 0.0000) and Si at (0.0000, 0.3344, 0.5000).



This record from Alexandria via LeMat-Bulk describes crystalline MgTaNb2N4 at its relaxed geometry. The functional is PBE.

For the uncorrected formation energy, the calculation gives -1.019 eV/atom.

The structure belongs to space group P2/m (No. 10); the cell edges are 5.340, 3.096 and 5.448 Å and the angles 90.00°, 108.55° and 90.00°. The inequivalent atoms are Mg at (0.000, 0.000, 0.000), Ta at (0.500, 0.500, 0.000), Nb at (0.000, 0.500, 0.500), Nb at (0.500, 0.000, 0.500), N at (0.246, 0.500, 0.236) and N at (0.252, 0.000, 0.765).



This record from Alexandria via LeMat-Bulk describes crystalline Re2SiAu at its relaxed geometry. The functional is PBE.

For the uncorrected formation energy, the calculation gives 0.530 eV/atom.

The structure belongs to space group Pmmm (No. 47); the cell edges are 2.908, 4.578 and 4.627 Å and the angles 90.00°, 90.00° and 90.00°. The inequivalent atoms are Re at (0.000, 0.000, 0.000), Re at (0.500, 0.000, 0.500), Si at (0.000, 0.500, 0.500) and Au at (0.500, 0.500, 0.000).



This record from Alexandria via LeMat-Bulk describes crystalline Ba2NaZnF6 at its relaxed geometry. The functional is PBE.

For the uncorrected formation energy, the calculation gives -2.965 eV/atom.

The structure belongs to space group Pmmn (No. 59, origin choice 2); the cell edges are 6.701, 7.845 and 6.725 Å and the angles 90.00°, 90.00° and 90.00°. The inequivalent atoms are Ba at (0.250, 0.011, 0.158), Na at (0.250, 0.250, 0.671), Zn at (0.250, 0.750, 0.606), F at (0.010, 0.250, 0.934), F at (0.059, 0.250, 0.381) and F at (0.250, 0.530, 0.771).



E_tot list, top to bottom, in eV/atom: -5.376 -1.926 -6.003 -6.545 -6.409 -9.380 -7.869 -4.732